[1]
VASP calculation (PBE) on an optimized crystal structure of ZrCrHg2.

a b c (Å): 5.371 5.371 5.137
angles (deg): 106.21 106.21 34.84
Atoms (fractional coordinates):
Zr 0.000 0.000 0.000
Cr 0.261 0.261 0.808
Hg 0.527 0.527 0.526
Hg 0.766 0.766 0.291

Properties
energy relative to the elements	0.241	eV per atom
spin magnetization	2.69	μB/cell
N(E_F)	2.871	states/eV/f.u.
symmetry	Cm (8)
raw total energy	-17.810	eV for the cell shown

=====

[2]
VASP calculation (PBE) on an optimized crystal structure of ZrCr2Hg.

a b c (Å): 4.959 4.959 4.959
angles (deg): 128.56 128.56 75.72
Atoms (fractional coordinates):
Zr 0.000 0.000 0.000
Cr 0.250 0.750 0.500
Cr 0.750 0.250 0.500
Hg 0.500 0.500 0.000

Properties
energy relative to the elements	0.403	eV per atom
spin magnetization	6.30	μB/cell
N(E_F)	3.533	states/eV/f.u.
symmetry	I4/mmm (139)
raw total energy	-26.483	eV for the cell shown

=====

[3]
VASP calculation (PBE) on an optimized crystal structure of ZrCrHg2.

a b c (Å): 9.657 9.657 9.657
angles (deg): 19.05 19.05 19.05
Atoms (fractional coordinates):
Zr 0.000 0.000 0.000
Cr 0.500 0.500 0.500
Hg 0.244 0.244 0.244
Hg 0.756 0.756 0.756

Properties
energy relative to the elements	0.284	eV per atom
spin magnetization	3.18	μB/cell
N(E_F)	4.459	states/eV/f.u.
symmetry	R-3m (166)
raw total energy	-17.639	eV for the cell shown

=====

[4]
VASP calculation (PBE) on an optimized crystal structure of ZrCr2Hg.

a b c (Å): 5.354 5.354 2.780
angles (deg): 101.48 101.48 115.78
Atoms (fractional coordinates):
Zr 0.000 0.000 0.000
Cr 0.000 0.500 0.500
Cr 0.500 0.000 0.500
Hg 0.500 0.500 0.000

Properties
energy relative to the elements	0.614	eV per atom
spin magnetization	0.74	μB/cell
N(E_F)	5.307	states/eV/f.u.
symmetry	C2/m (12)
raw total energy	-25.639	eV for the cell shown